Below is a geometry-optimized K2PtSeS structure, with properties calculated at the PBE level.

```
K2PtSeS
1.0
-1.861 4.854 3.627
1.861 -4.854 3.627
1.861 4.854 -3.627
K Pt S Se
2 1 1 1
direct
0.690 0.493 0.197 K
0.295 0.493 0.803 K
0.012 0.012 0.000 Pt
0.220 0.720 0.500 S
0.783 0.283 0.500 Se
```

Calculated total energy: -4.095 eV/atom
Magnetization: 0.00 μB per cell
Crystal system: orthorhombic
Space group: Imm2, No. 44